Ca2TlAg PBE-GGA optimized geometry; volume = 25.14 Å³/atom; total energy = -2.51 eV per atom
1.0
0.0000 3.6908 3.6908
3.6908 0.0000 3.6908
3.6908 3.6908 0.0000
Ca Tl Ag
2 1 1
Cartesian
0.0000 0.0000 0.0000
1.8454 1.8454 1.8454
5.5362 5.5362 5.5362
3.6908 3.6908 3.6908


Cs2Hg16I PBE-GGA optimized geometry; volume = 33.97 Å³/atom; total energy = -0.61 eV per atom
1.0
5.8509 3.3780 5.4428
-5.8509 3.3780 5.4428
0.0000 -6.7560 5.4428
Cs Hg I
2 16 1
Cartesian
0.0000 0.0000 0.0000
0.0000 0.0000 5.2502
0.0000 -3.2802 2.8574
-2.8407 1.6401 2.8574
-3.1615 -1.8253 8.3501
0.0000 -3.5940 7.9497
-3.1125 1.7970 7.9497
-1.6874 -3.0857 10.9337
-3.5160 0.0815 10.9337
2.8407 1.6401 2.8574
1.6874 -3.0857 10.9337
-1.8286 3.0042 10.9337
3.1615 -1.8253 8.3501
0.0000 3.6506 8.3501
0.0000 0.0000 12.4196
3.1125 1.7970 7.9497
3.5160 0.0815 10.9336
1.8286 3.0042 10.9336
0.0000 0.0000 8.9241


CsTbPb2Br8 PBE-GGA optimized geometry; volume = 40.47 Å³/atom; total energy = -3.54 eV per atom
1.0
7.0004 0.0000 0.0000
0.2903 7.2607 0.0000
1.1108 0.7108 9.5540
Cs Tb Pb Br
1 1 2 8
Cartesian
0.0000 0.0000 0.0000
0.5554 0.3554 4.7770
3.8013 3.7934 2.3752
4.6003 4.1781 7.1788
2.5887 6.4579 6.6481
2.2694 2.6578 4.7631
1.9844 2.9212 0.3180
2.4293 6.4931 2.7077
5.9722 1.4784 6.8463
6.4172 5.0503 9.2359
6.1321 5.3136 4.7908
5.8128 1.5135 2.9059


MnAlTc2 PBE-GGA optimized geometry; volume = 13.86 Å³/atom; total energy = -8.52 eV per atom
1.0
-1.8767 1.8767 3.9361
1.8767 -1.8767 3.9361
1.8767 1.8767 -3.9361
Mn Al Tc
1 1 2
Cartesian
0.0000 0.0000 0.0000
0.0000 0.0000 3.9361
1.8767 0.0000 1.9681
0.0000 1.8767 1.9681


Ho4AgAu PBE-GGA optimized geometry; volume = 28.95 Å³/atom; total energy = -4.29 eV per atom
1.0
4.9751 0.0000 0.0000
0.0000 4.9751 0.0000
0.0000 0.0000 7.0175
Ho Ag Au
4 1 1
Cartesian
0.0000 2.4875 1.7205
0.0000 2.4875 5.2970
2.4875 0.0000 1.7205
2.4875 0.0000 5.2970
0.0000 0.0000 3.5087
2.4875 2.4875 0.0000


Er6Bi3SbSe2 PBE-GGA optimized geometry; volume = 28.13 Å³/atom; total energy = -5.32 eV per atom
1.0
3.7237 -6.4512 0.0000
3.7237 6.4512 0.0000
-2.4798 0.0000 7.0259
Er Bi Sb Se
6 3 1 2
Cartesian
-0.0197 2.1920 5.3502
1.1856 0.0000 1.6329
-0.0197 -2.1920 5.3502
4.9873 2.1920 1.6756
3.7819 0.0000 5.3929
4.9873 -2.1920 1.6756
-1.2399 0.0000 3.5129
2.4838 2.1053 3.5129
2.4838 -2.1053 3.5129
3.7237 0.0000 0.0000
3.7237 4.2934 0.0000
3.7237 -4.2934 0.0000


CaLaPd3 PBE-GGA optimized geometry; volume = 25.35 Å³/atom; total energy = -4.51 eV per atom; distance to the lowest polymorph of the same formula = 0.717 eV per atom
1.0
5.0235 0.0000 0.0000
0.0000 5.0235 0.0000
0.0000 0.0000 5.0235
Ca La Pd
1 1 3
Cartesian
0.0000 0.0000 0.0000
2.5117 2.5117 2.5117
0.0000 0.0000 2.5117
0.0000 2.5117 0.0000
2.5117 0.0000 0.0000


La2AlNiSn PBE-GGA optimized geometry; volume = 26.86 Å³/atom; total energy = -5.18 eV per atom
1.0
5.3648 0.0000 0.0000
0.0000 5.3648 0.0000
0.0000 0.0000 4.6667
La Al Ni Sn
2 1 1 1
Cartesian
0.0000 2.6824 0.0000
2.6824 0.0000 0.0000
0.0000 0.0000 2.3333
0.0000 0.0000 0.0000
2.6824 2.6824 2.3333


Co2PdS4 PBE-GGA optimized geometry; volume = 16.29 Å³/atom; total energy = -5.20 eV per atom
1.0
-3.1185 3.1185 5.8614
3.1185 -3.1185 5.8614
3.1185 3.1185 -5.8614
Co Pd S
4 2 8
Cartesian
0.0000 0.0000 0.0000
-1.5592 1.5592 2.9307
0.0000 3.1185 0.0000
1.5592 1.5592 2.9307
3.1185 1.5592 -1.4654
0.0000 1.5592 7.3268
5.1202 -0.2853 1.8587
1.8445 0.4425 1.0720
2.0017 -0.2853 4.0027
1.8445 3.5610 -1.0720
1.2739 -0.4425 6.9334
1.1167 3.4038 1.8587
1.2739 2.6760 4.7894
-2.0017 3.4038 4.0027


Ac3LaRu PBE-GGA optimized geometry; volume = 39.23 Å³/atom; total energy = -5.33 eV per atom; distance to the lowest polymorph of the same formula = 0.147 eV per atom
1.0
5.8104 0.0000 0.0000
0.0000 5.8104 0.0000
0.0000 0.0000 5.8104
Ac La Ru
3 1 1
Cartesian
0.0000 0.0000 2.9052
0.0000 2.9052 0.0000
2.9052 0.0000 0.0000
2.9052 2.9052 2.9052
0.0000 0.0000 0.0000


CsGa2Au3 PBE-GGA optimized geometry; volume = 26.62 Å³/atom; total energy = -3.10 eV per atom; distance to the lowest polymorph of the same formula = 0.014 eV per atom
1.0
4.7414 0.0000 0.0000
0.0000 12.9145 0.0000
0.0000 0.0000 5.2164
Cs Ga Au
2 4 6
Cartesian
1.1854 3.2286 0.9581
3.5561 9.6858 4.2582
1.1854 7.1128 1.7953
1.1854 12.2589 1.7953
3.5561 0.6555 3.4211
3.5561 5.8017 3.4211
1.1854 6.4935 4.3519
1.1854 9.6858 1.6839
1.1854 12.8782 4.3519
3.5561 0.0362 0.8645
3.5561 3.2286 3.5325
3.5561 6.4210 0.8645


CsCaHoO3 PBE-GGA optimized geometry; volume = 18.73 Å³/atom; total energy = -6.40 eV per atom
1.0
7.4794 0.0000 0.0000
0.0000 3.5009 0.0000
-0.4158 0.0000 8.5826
Cs Ca Ho O
2 2 2 6
Cartesian
0.3628 0.8752 2.6893
6.7008 2.6257 5.8933
1.9355 2.6257 8.4081
5.1281 0.8752 0.1745
2.9775 0.8752 5.6856
4.0861 2.6257 2.8971
1.2599 0.8752 7.1541
2.3243 2.6257 4.4318
3.1913 0.8752 1.4394
3.8723 2.6257 7.1432
4.7393 0.8752 4.1508
5.8037 2.6257 1.4285